(1)
## DyAl11Os (PBE)

Data for DyAl11Os after structural relaxation.

Output
- space-group type = C2/m
- ρ (g/cm³) = 4.90
- uncorrected energy (eV/f.u.) = -59.94
- N(E_F) (states/eV/atom) = 0.468
- volume (Å³/f.u.) = 220.3
- ΔE_f (meV per atom) = -226

Unit cell a=6.842 b=6.842 c=7.122 alpha=97.69 beta=97.69 gamma=135.11
Sites, in units of the cell vectors:
Dy 0.000 0.000 0.000
Al 0.000 0.000 0.500
Al 0.000 0.500 0.000
Al 0.015 0.362 0.359
Al 0.284 0.500 0.777
Al 0.362 0.015 0.359
Al 0.500 0.000 0.000
Al 0.500 0.284 0.777
Al 0.500 0.716 0.223
Al 0.638 0.985 0.641
Al 0.716 0.500 0.223
Al 0.985 0.638 0.641
Os 0.500 0.500 0.500

(2)
## DyAl4Os (PBE)

Data for DyAl4Os after structural relaxation.

Output
- space-group type = Pmma
- ρ (g/cm³) = 6.91
- uncorrected energy (eV/f.u.) = -33.83
- N(E_F) (states/eV/atom) = 0.305
- volume (Å³/f.u.) = 110.6
- ΔE_f (meV per atom) = -505
- excess energy over the best structure of this formula in the dataset (eV per formula unit) = 0.00

Unit cell a=7.773 b=4.125 c=6.902 alpha=90.00 beta=90.00 gamma=90.00
Sites, in units of the cell vectors:
Dy 0.250 0.000 0.125
Dy 0.750 0.000 0.875
Al 0.000 0.000 0.500
Al 0.067 0.500 0.813
Al 0.250 0.500 0.460
Al 0.433 0.500 0.813
Al 0.500 0.000 0.500
Al 0.567 0.500 0.187
Al 0.750 0.500 0.540
Al 0.933 0.500 0.187
Os 0.250 0.000 0.701
Os 0.750 0.000 0.299

(3)
## DyAlOs (PBE)

Data for DyAlOs after structural relaxation.

Output
- space-group type = I4mm
- ρ (g/cm³) = 11.10
- uncorrected energy (eV/f.u.) = -20.57
- N(E_F) (states/eV/atom) = 0.367
- volume (Å³/f.u.) = 56.8
- ΔE_f (meV per atom) = -333

Unit cell a=3.287 b=3.287 c=10.514 alpha=90.00 beta=90.00 gamma=90.00
Sites, in units of the cell vectors:
Dy 0.000 0.000 0.000
Dy 0.500 0.500 0.500
Al 0.000 0.000 0.286
Al 0.500 0.500 0.786
Os 0.000 0.000 0.677
Os 0.500 0.500 0.177

(4)
## DyAl4Os (PBE)

Data for DyAl4Os after structural relaxation.

Output
- space-group type = P4/mmm
- ρ (g/cm³) = 5.77
- uncorrected energy (eV/f.u.) = -30.96
- N(E_F) (states/eV/atom) = 0.598
- volume (Å³/f.u.) = 132.5
- ΔE_f (meV per atom) = -26
- excess energy over the best structure of this formula in the dataset (eV per formula unit) = 2.88

Unit cell a=4.098 b=4.098 c=7.892 alpha=90.00 beta=90.00 gamma=90.00
Sites, in units of the cell vectors:
Dy 0.000 0.000 0.000
Al 0.000 0.500 0.315
Al 0.000 0.500 0.685
Al 0.500 0.000 0.315
Al 0.500 0.000 0.685
Os 0.500 0.500 0.500

(5)
## Dy3Al3Os (PBE)

Data for Dy3Al3Os after structural relaxation.

Output
- space-group type = C2/m
- ρ (g/cm³) = 7.91
- uncorrected energy (eV/f.u.) = -39.20
- N(E_F) (states/eV/atom) = 0.672
- volume (Å³/f.u.) = 159.2
- ΔE_f (meV per atom) = -420

Unit cell a=5.927 b=5.927 c=15.282 alpha=105.40 beta=105.40 gamma=38.16
Sites, in units of the cell vectors:
Dy 0.018 0.018 0.386
Dy 0.122 0.122 0.921
Dy 0.240 0.240 0.240
Dy 0.760 0.760 0.760
Dy 0.878 0.878 0.079
Dy 0.982 0.982 0.614
Al 0.326 0.326 0.466
Al 0.402 0.402 0.926
Al 0.477 0.477 0.772
Al 0.523 0.523 0.228
Al 0.598 0.598 0.074
Al 0.674 0.674 0.534
Os 0.282 0.282 0.628
Os 0.718 0.718 0.372

(6)
## PmDyAlOs (PBE)

Data for PmDyAlOs after structural relaxation.

Output
- space-group type = F-43m
- ρ (g/cm³) = 9.79
- uncorrected energy (eV/f.u.) = -25.05
- N(E_F) (states/eV/atom) = 0.379
- volume (Å³/f.u.) = 89.0
- ΔE_f (meV per atom) = -181

Unit cell a=7.088 b=7.088 c=7.088 alpha=90.00 beta=90.00 gamma=90.00
Sites, in units of the cell vectors:
Pm 0.000 0.000 0.000
Pm 0.000 0.500 0.500
Pm 0.500 0.000 0.500
Pm 0.500 0.500 0.000
Dy 0.000 0.000 0.500
Dy 0.000 0.500 0.000
Dy 0.500 0.000 0.000
Dy 0.500 0.500 0.500
Al 0.250 0.250 0.250
Al 0.250 0.750 0.750
Al 0.750 0.250 0.750
Al 0.750 0.750 0.250
Os 0.250 0.250 0.750
Os 0.250 0.750 0.250
Os 0.750 0.250 0.250
Os 0.750 0.750 0.750

(7)
## TbDyAlOs (PBE)

Data for TbDyAlOs after structural relaxation.

Output
- space-group type = F-43m
- ρ (g/cm³) = 10.41
- uncorrected energy (eV/f.u.) = -25.23
- N(E_F) (states/eV/atom) = 0.381
- volume (Å³/f.u.) = 85.9
- ΔE_f (meV per atom) = -256

Unit cell a=7.005 b=7.005 c=7.005 alpha=90.00 beta=90.00 gamma=90.00
Sites, in units of the cell vectors:
Tb 0.000 0.000 0.000
Tb 0.000 0.500 0.500
Tb 0.500 0.000 0.500
Tb 0.500 0.500 0.000
Dy 0.000 0.000 0.500
Dy 0.000 0.500 0.000
Dy 0.500 0.000 0.000
Dy 0.500 0.500 0.500
Al 0.250 0.250 0.750
Al 0.250 0.750 0.250
Al 0.750 0.250 0.250
Al 0.750 0.750 0.750
Os 0.250 0.250 0.250
Os 0.250 0.750 0.750
Os 0.750 0.250 0.750
Os 0.750 0.750 0.250

(8)
## DyYAlOs (PBE)

Data for DyYAlOs after structural relaxation.

Output
- space-group type = F-43m
- ρ (g/cm³) = 9.09
- uncorrected energy (eV/f.u.) = -27.10
- N(E_F) (states/eV/atom) = 0.431
- volume (Å³/f.u.) = 85.6
- ΔE_f (meV per atom) = -266

Unit cell a=6.995 b=6.995 c=6.995 alpha=90.00 beta=90.00 gamma=90.00
Sites, in units of the cell vectors:
Dy 0.000 0.000 0.000
Dy 0.000 0.500 0.500
Dy 0.500 0.000 0.500
Dy 0.500 0.500 0.000
Y 0.000 0.000 0.500
Y 0.000 0.500 0.000
Y 0.500 0.000 0.000
Y 0.500 0.500 0.500
Al 0.250 0.250 0.250
Al 0.250 0.750 0.750
Al 0.750 0.250 0.750
Al 0.750 0.750 0.250
Os 0.250 0.250 0.750
Os 0.250 0.750 0.250
Os 0.750 0.250 0.250
Os 0.750 0.750 0.750